Crystalline Na2CoSiO4 at its relaxed geometry. Source: the Alexandria database, functional PBE with a Hubbard U.

Properties
Calculated volume ... 208 Å³/cell
Final energy ... -6.126 eV/atom
M_tot ... 3.00 μB per formula unit

abc: 6.298 6.141 5.371
angles: 90.00 90.00 90.00
Space group Pmn2_1 (No. 31)
Symmetry-distinct sites (fractional):
Na 0.247 0.169 0.000 [4 per cell]
Co 0.000 0.358 0.492 [2 per cell]
Si 0.000 0.658 0.989 [2 per cell]
O 0.000 0.418 0.127 [2 per cell]
O 0.000 0.628 0.684 [2 per cell]
O 0.218 0.798 0.066 [4 per cell]